Below is crystalline KCuAgAs at its relaxed geometry, with properties calculated at the PBE level.

Cell: 3.978 3.978 12.551 Å, 90.00 90.00 90.00°
Atoms (fractional coordinates):
1 Cu 0.250 0.750 0.000
2 Cu 0.750 0.250 0.000
3 K 0.250 0.250 0.745
4 K 0.750 0.750 0.255
5 As 0.750 0.750 0.887
6 As 0.250 0.250 0.113
7 Ag 0.250 0.750 0.500
8 Ag 0.750 0.250 0.500

Its density of states at the Fermi level is 4.2 states/eV/cell. As for the symmetry: P4/nmm, No. 129. The value obtained for the formation energy is -0.32 eV/f.u.